No. 1
Nb6Ga3As | GGA-PBE | relaxed

```
20
Lattice="5.068 0.000 0.000 0.000 7.753 0.000 -4.993 0.000 9.130" Properties=species:S:1:pos:R:3 pbc="T T T"
Nb -0.299 1.307 0.562
Nb -2.796 2.570 5.128
Nb -0.276 1.328 3.993
Nb -2.772 2.549 8.558
Nb 0.820 4.348 2.294
Nb -1.676 7.282 6.859
Nb 1.752 0.471 2.271
Nb -0.745 3.406 6.836
Nb 2.847 5.205 0.572
Nb 0.351 6.425 5.137
Nb 2.871 5.184 4.003
Nb 0.374 6.446 8.568
Ga -2.496 0.000 4.565
Ga 0.000 3.877 0.000
Ga -3.107 4.820 6.897
Ga -0.610 6.810 2.332
Ga 0.686 0.944 6.798
Ga 3.182 2.933 2.233
As 2.534 0.000 0.000
As 0.038 3.877 4.565
```

**DFT formation energy**: -0.124 eV per atom
**VASP energy**: -150.77 eV for the cell shown
**Crystal system**: monoclinic
**Space-group type**: P2_1/c (14)


No. 2
KLaZrF2 | GGA-PBE | relaxed

```
5
Lattice="4.363 0.000 0.000 0.000 4.363 0.000 0.000 0.000 7.231" Properties=species:S:1:pos:R:3 pbc="T T T"
K 0.000 0.000 0.000
La 2.181 2.181 0.000
Zr 0.000 0.000 3.616
F 0.000 2.181 3.616
F 2.181 0.000 3.616
```

**Polymorph energy (0 for the lowest one)**: 0.000 eV/atom
**Uncorrected formation energy**: -0.83 eV per atom
**VASP energy**: -22.44 eV for the cell shown
**Crystal system**: tetragonal
**Space-group type**: P4/mmm (123)


No. 3
Mg2ScCu | GGA-PBE | relaxed

```
4
Lattice="-2.363 2.363 3.377 2.363 -2.363 3.377 2.363 2.363 -3.377" Properties=species:S:1:pos:R:3 pbc="T T T"
Mg 0.000 0.000 0.000
Mg 0.000 2.363 1.688
Sc 2.363 0.000 1.688
Cu 0.000 0.000 3.377
```

**DFT formation energy**: -0.076 eV per atom
**VASP energy**: -13.92 eV for the cell shown
**Crystal system**: tetragonal
**Space-group type**: I-4m2 (119)


No. 4
UBOs | GGA-PBE | relaxed

```
6
Lattice="2.547 -3.198 0.000 2.547 3.198 0.000 0.000 0.000 6.385" Properties=species:S:1:pos:R:3 pbc="T T T"
U 2.547 2.061 4.789
U 2.547 -2.061 1.596
B 2.547 0.000 0.000
B 2.547 0.000 3.193
Os 2.547 1.262 1.596
Os 2.547 -1.262 4.789
```

**Polymorph energy (0 for the lowest one)**: 0.346 eV/atom
**DFT formation energy**: 0.118 eV per atom
**VASP energy**: -57.68 eV for the cell shown
**Crystal system**: orthorhombic
**Space-group type**: Cmcm (63)


No. 5
Pm2ZnGe4Pd3 | GGA-PBE | relaxed

```
10
Lattice="4.235 0.000 0.000 0.000 4.235 0.000 0.000 0.000 10.694" Properties=species:S:1:pos:R:3 pbc="T T T"
Pm 0.000 2.117 2.652
Pm 2.117 0.000 8.041
Zn 2.117 2.117 0.000
Ge 0.000 0.000 5.347
Ge 0.000 2.117 9.218
Ge 2.117 0.000 1.476
Ge 2.117 2.117 5.347
Pd 0.000 0.000 0.000
Pd 0.000 2.117 6.752
Pd 2.117 0.000 3.942
```

**DFT formation energy**: -0.741 eV per atom
**VASP energy**: -52.23 eV for the cell shown
**Crystal system**: tetragonal
**Space-group type**: P-4m2 (115)


No. 6
BeCuSiPt | GGA-PBE | relaxed

```
4
Lattice="0.000 2.898 2.898 2.898 0.000 2.898 2.898 2.898 0.000" Properties=species:S:1:pos:R:3 pbc="T T T"
Be 0.000 0.000 0.000
Cu 4.347 4.347 4.347
Si 2.898 2.898 2.898
Pt 1.449 1.449 1.449
```

**Uncorrected formation energy**: -0.32 eV per atom
**VASP energy**: -20.55 eV for the cell shown
**Crystal system**: cubic
**Space-group type**: F-43m (216)


No. 7
LiCuCSO7 | GGA-PBE | relaxed

```
22
Lattice="5.142 0.000 0.000 0.000 6.446 0.000 -0.577 0.000 8.559" Properties=species:S:1:pos:R:3 pbc="T T T"
Li 0.964 0.000 2.549
Li 3.600 3.223 6.010
Cu 0.650 1.896 7.245
Cu 3.914 5.119 1.314
C 1.079 1.822 4.847
C 3.486 5.045 3.712
S 0.855 5.145 7.900
S 3.709 1.922 0.659
O -0.121 1.912 5.364
O 0.737 5.221 0.657
O 0.406 3.965 7.108
O 0.550 6.307 7.039
O 1.306 1.580 3.648
O 2.235 1.817 0.397
O 2.016 1.963 5.755
O 2.548 5.186 2.804
O 2.329 5.040 8.162
O 3.258 4.803 4.910
O 4.014 3.084 1.520
O 4.158 0.742 1.451
O 3.827 1.998 7.901
O 4.685 5.135 3.195
```

**Uncorrected formation energy**: -1.23 eV per atom
**VASP energy**: -135.15 eV for the cell shown
**Crystal system**: monoclinic
**Space-group type**: P2_1 (4)


No. 8
LiCuBr | GGA-PBE | relaxed

```
3
Lattice="0.000 3.161 3.161 3.161 0.000 3.161 3.161 3.161 0.000" Properties=species:S:1:pos:R:3 pbc="T T T"
Li 0.000 0.000 0.000
Cu 1.580 1.580 1.580
Br 3.161 3.161 3.161
```

**Polymorph energy (0 for the lowest one)**: 0.208 eV/atom
**Uncorrected formation energy**: -0.08 eV per atom
**VASP energy**: -7.92 eV for the cell shown
**Crystal system**: cubic
**Space-group type**: F-43m (216)